Material: TmSc3Ir
Method: DFT, PBE
State: optimized geometry

Its uncorrected energy is -68.75 eV/cell. As for the space group: Pmmn (59). The density of states at the Fermi level is 5.8 states/eV/f.u.

Lattice parameters (Å, degrees): 4.8076 7.7064 6.2278 90.00 90.00 90.00
With the nearest neighbours (Å) after each atom.
Element x y z (fractional)
Tm: 0.2500 0.2500 0.2163  2 Ir 2.95, 4 Sc 3.05-3.28
Tm: 0.7500 0.7500 0.7837  2 Ir 2.95, 4 Sc 3.05-3.28
Sc: 0.2500 0.0550 0.6838  1 Ir 2.59
Sc: 0.2500 0.4450 0.6838  1 Ir 2.59
Sc: 0.2500 0.7500 0.0860  1 Ir 2.64
Sc: 0.7500 0.2500 0.9140  1 Ir 2.64
Sc: 0.7500 0.5550 0.3162  1 Ir 2.59
Sc: 0.7500 0.9450 0.3162  1 Ir 2.59
Ir: 0.2500 0.7500 0.5097  3 Sc 2.59-2.64
Ir: 0.7500 0.2500 0.4903  3 Sc 2.59-2.64

---

Material: Tm3ScIr4
Method: DFT, PBE
State: optimized geometry

Its uncorrected energy is -62.63 eV/cell. As for the space group: I4/mmm (139). The density of states at the Fermi level is 1.9 states/eV/f.u.

Lattice parameters (Å, degrees): 7.6632 7.6632 7.6632 144.71 144.71 50.76
With the nearest neighbours (Å) after each atom.
Element x y z (fractional)
Tm: 0.0000 0.0000 0.0000  8 Ir 2.87
Tm: 0.2507 0.2507 0.0000  8 Ir 2.92-2.93
Tm: 0.7493 0.7493 0.0000  8 Ir 2.92-2.93
Sc: 0.5000 0.5000 0.0000  8 Ir 2.87
Ir: 0.1216 0.6216 0.5000  6 Tm 2.87-2.93, 2 Sc 2.87
Ir: 0.3784 0.8784 0.5000  2 Sc 2.87, 6 Tm 2.87-2.93
Ir: 0.6216 0.1216 0.5000  6 Tm 2.87-2.93, 2 Sc 2.87
Ir: 0.8784 0.3784 0.5000  2 Sc 2.87, 6 Tm 2.87-2.93

---

Material: Tm3ScIr
Method: DFT, PBE
State: optimized geometry

Its uncorrected energy is -61.34 eV/cell. As for the space group: C2/m (12). The density of states at the Fermi level is 7.0 states/eV/f.u.

Lattice parameters (Å, degrees): 7.0750 7.0750 7.6950 122.77 122.77 74.04
With the nearest neighbours (Å) after each atom.
Element x y z (fractional)
Tm: 0.0546 0.0546 0.2685  1 Ir 2.67
Tm: 0.0687 0.4579 0.8018  1 Ir 2.69
Tm: 0.4579 0.0687 0.8018  1 Ir 2.69
Tm: 0.5421 0.9313 0.1982  1 Ir 2.69
Tm: 0.9313 0.5421 0.1982  1 Ir 2.69
Tm: 0.9454 0.9454 0.7315  1 Ir 2.67
Sc: 0.4435 0.4435 0.6406  1 Ir 2.55
Sc: 0.5565 0.5565 0.3594  1 Ir 2.55
Ir: 0.2557 0.2557 0.1294  1 Sc 2.55, 3 Tm 2.67-2.69
Ir: 0.7443 0.7443 0.8706  1 Sc 2.55, 3 Tm 2.67-2.69

---

Material: TmScIr
Method: DFT, PBE
State: optimized geometry

Its uncorrected energy is -21.57 eV/cell. As for the space group: I4mm (107). The density of states at the Fermi level is 2.9 states/eV/f.u. The value obtained for the energy above the most stable polymorph in this dataset is 0.169 eV per atom.

Lattice parameters (Å, degrees): 6.6380 6.6380 6.6380 151.59 151.59 40.61
With the nearest neighbours (Å) after each atom.
Element x y z (fractional)
Tm: 0.0000 0.0000 0.0000  4 Ir 2.91, 4 Tm 3.26
Sc: 0.2681 0.2681 0.0000  4 Ir 2.78
Ir: 0.6431 0.6431 0.0000  4 Sc 2.78, 4 Tm 2.91

---

Material: Tm2Sc3Ir2
Method: DFT, PBE
State: optimized geometry

Its uncorrected energy is -50.37 eV/cell. As for the space group: C2/m (12). The density of states at the Fermi level is 7.1 states/eV/f.u.

Lattice parameters (Å, degrees): 5.9001 5.9001 8.2319 114.37 114.37 37.54
With the nearest neighbours (Å) after each atom.
Element x y z (fractional)
Tm: 0.1555 0.1555 0.3019  2 Ir 2.83
Tm: 0.8445 0.8445 0.6981  2 Ir 2.83
Sc: 0.3773 0.3773 0.0656  3 Ir 2.73-2.75
Sc: 0.5000 0.5000 0.5000  4 Ir 2.75
Sc: 0.6227 0.6227 0.9344  3 Ir 2.73-2.75
Ir: 0.1670 0.1670 0.7281  5 Sc 2.73-2.75, 2 Tm 2.83
Ir: 0.8330 0.8330 0.2719  5 Sc 2.73-2.75, 2 Tm 2.83

---

Material: TmScVIr
Method: DFT, PBE
State: optimized geometry

Its uncorrected energy is -30.22 eV/cell. As for the space group: F-43m (216). The density of states at the Fermi level is 3.7 states/eV/f.u.

Lattice parameters (Å, degrees): 4.7508 4.7508 4.7508 60.00 60.00 60.00
With the nearest neighbours (Å) after each atom.
Element x y z (fractional)
Tm: 0.0000 0.0000 0.0000  4 Ir 2.91, 4 V 2.91
Sc: 0.5000 0.5000 0.5000  4 Ir 2.91, 4 V 2.91
V: 0.7500 0.7500 0.7500  4 Tm 2.91, 4 Sc 2.91
Ir: 0.2500 0.2500 0.2500  4 Sc 2.91, 4 Tm 2.91

---

Material: YTmScIr
Method: DFT, PBE
State: optimized geometry

Its uncorrected energy is -27.26 eV/cell. As for the space group: F-43m (216). The density of states at the Fermi level is 3.9 states/eV/f.u.

Lattice parameters (Å, degrees): 5.0152 5.0152 5.0152 60.00 60.00 60.00
With the nearest neighbours (Å) after each atom.
Element x y z (fractional)
Y: 0.0000 0.0000 0.0000  4 Sc 3.07, 4 Ir 3.07
Tm: 0.5000 0.5000 0.5000  4 Ir 3.07, 4 Sc 3.07
Sc: 0.2500 0.2500 0.2500  4 Tm 3.07, 4 Y 3.07
Ir: 0.7500 0.7500 0.7500  4 Tm 3.07, 4 Y 3.07

---

Material: TmScZnIr
Method: DFT, PBE
State: optimized geometry

Its uncorrected energy is -23.68 eV/cell. As for the space group: F-43m (216). The density of states at the Fermi level is 2.5 states/eV/f.u.

Lattice parameters (Å, degrees): 4.7528 4.7528 4.7528 60.00 60.00 60.00
With the nearest neighbours (Å) after each atom.
Element x y z (fractional)
Tm: 0.0000 0.0000 0.0000  4 Ir 2.91, 4 Zn 2.91
Sc: 0.5000 0.5000 0.5000  4 Zn 2.91, 4 Ir 2.91
Zn: 0.7500 0.7500 0.7500  4 Sc 2.91, 4 Tm 2.91
Ir: 0.2500 0.2500 0.2500  4 Sc 2.91, 4 Tm 2.91